! Na2CoBO4, relaxed, DFT GGA+U; values from VASP
&SYSTEM
  ibrav = 0, nat = 16, ntyp = 4
/
ATOMIC_SPECIES
Na 22.99 Na.upf
Co 58.93 Co.upf
B 10.81 B.upf
O 16.00 O.upf
ATOMIC_POSITIONS crystal
Na 0.183 0.000 0.634
Na 0.817 0.000 0.366
Na 0.567 0.500 0.866
Na 0.933 0.500 0.134
Co 0.750 0.500 0.500
Co 0.000 0.000 0.000
B 0.250 0.500 0.500
B 0.500 0.000 0.000
O 0.349 0.823 0.087
O 0.259 0.177 0.913
O 0.828 0.823 0.913
O 0.564 0.177 0.087
O 0.401 0.677 0.413
O 0.491 0.323 0.587
O 0.922 0.677 0.587
O 0.186 0.323 0.413
CELL_PARAMETERS angstrom
4.585 0.000 0.000
2.293 5.157 0.000
2.293 0.000 9.207
! VASP energy: -45.87 eV/f.u.


! Na3CoBSO7, relaxed, DFT GGA+U; values from VASP
&SYSTEM
  ibrav = 0, nat = 26, ntyp = 5
/
ATOMIC_SPECIES
Na 22.99 Na.upf
Co 58.93 Co.upf
B 10.81 B.upf
S 32.06 S.upf
O 16.00 O.upf
ATOMIC_POSITIONS crystal
Na 0.749 0.066 0.248
Na 0.251 0.934 0.749
Na 0.241 0.241 0.992
Na 0.239 0.240 0.509
Na 0.760 0.760 0.492
Na 0.761 0.760 0.009
Co 0.235 0.665 0.249
Co 0.765 0.335 0.749
B 0.730 0.064 0.752
B 0.270 0.936 0.251
S 0.720 0.421 0.250
S 0.280 0.579 0.750
O 0.294 0.086 0.250
O 0.706 0.914 0.751
O 0.964 0.136 0.754
O 0.036 0.864 0.254
O 0.521 0.165 0.748
O 0.479 0.835 0.248
O 0.441 0.456 0.248
O 0.559 0.544 0.749
O 0.141 0.437 0.748
O 0.859 0.563 0.249
O 0.788 0.328 0.076
O 0.788 0.330 0.425
O 0.212 0.672 0.576
O 0.212 0.670 0.926
CELL_PARAMETERS angstrom
-2.130 -4.701 -1.160
7.596 -4.240 2.236
-2.225 -0.582 6.445
! VASP energy: -77.39 eV/f.u.


! Na6Co2B4SO16, relaxed, DFT GGA+U; values from VASP
&SYSTEM
  ibrav = 0, nat = 58, ntyp = 5
/
ATOMIC_SPECIES
Na 22.99 Na.upf
Co 58.93 Co.upf
B 10.81 B.upf
S 32.06 S.upf
O 16.00 O.upf
ATOMIC_POSITIONS crystal
Na 0.969 0.531 0.969
Na 0.531 0.969 0.969
Na 0.531 0.531 0.969
Na 0.969 0.969 0.531
Na 0.719 0.281 0.719
Na 0.281 0.719 0.719
Na 0.969 0.531 0.531
Na 0.531 0.969 0.531
Na 0.281 0.281 0.719
Na 0.719 0.719 0.281
Na 0.281 0.719 0.281
Na 0.719 0.281 0.281
Co 0.125 0.125 0.125
Co 0.125 0.625 0.125
Co 0.625 0.125 0.125
Co 0.125 0.125 0.625
B 0.334 0.334 0.997
B 0.334 0.997 0.334
B 0.997 0.334 0.334
B 0.334 0.334 0.334
B 0.916 0.916 0.916
B 0.253 0.916 0.916
B 0.916 0.253 0.916
B 0.916 0.916 0.253
S 0.500 0.500 0.500
S 0.750 0.750 0.750
O 0.563 0.563 0.312
O 0.312 0.563 0.563
O 0.563 0.312 0.563
O 0.563 0.563 0.563
O 0.217 0.304 0.987
O 0.492 0.217 0.987
O 0.304 0.987 0.217
O 0.304 0.492 0.987
O 0.987 0.217 0.304
O 0.987 0.492 0.217
O 0.492 0.987 0.304
O 0.217 0.987 0.492
O 0.492 0.304 0.217
O 0.987 0.304 0.492
O 0.217 0.492 0.304
O 0.946 0.033 0.758
O 0.304 0.217 0.492
O 0.033 0.758 0.946
O 0.263 0.946 0.758
O 0.758 0.946 0.033
O 0.033 0.263 0.758
O 0.758 0.263 0.946
O 0.263 0.758 0.033
O 0.263 0.033 0.946
O 0.946 0.758 0.263
O 0.946 0.263 0.033
O 0.758 0.033 0.263
O 0.033 0.946 0.263
O 0.687 0.687 0.687
O 0.938 0.687 0.687
O 0.687 0.938 0.687
O 0.687 0.687 0.938
CELL_PARAMETERS angstrom
9.779 0.000 0.000
4.890 8.469 0.000
4.890 2.823 7.985
! VASP energy: -179.90 eV/f.u.


| no. | magnetic moment (μB per atom) |
| --- | --- |
| 1 | 0.500 |
| 2 | 0.231 |
| 3 | 0.069 |